(1)
Rb8P2Br | PBE-GGA | optimized geometry

Properties
- symmetry = No. 12

Cell: 5.4471 9.2121 11.5001 Å, 98.28 103.70 90.00°
Fractional coordinates of all 11 atoms:
P  0.1903  0.7233  0.3806
P  0.8097  0.2767  0.6194
Rb  0.6832  0.9765  0.3664
Rb  0.6157  0.5360  0.2314
Rb  0.0439  0.8018  0.0879
Rb  0.9561  0.1982  0.9121
Rb  0.3843  0.4640  0.7686
Rb  0.7842  0.6557  0.5684
Rb  0.2158  0.3443  0.4316
Rb  0.3168  0.0235  0.6336
Br  0.5000  0.0000  0.0000

---

(2)
RbPBr | PBE-GGA | optimized geometry

Properties
- symmetry = No. 12

Cell: 3.4693 7.6061 10.2656 Å, 120.17 90.00 103.18°
Fractional coordinates of all 6 atoms:
P  0.7219  0.4438  0.4232
P  0.2781  0.5562  0.5768
Br  0.4044  0.8089  0.1802
Br  0.5956  0.1911  0.8198
Rb  0.0000  0.0000  0.0000
Rb  0.0000  0.0000  0.5000

---

(3)
Rb5P2Br2 | PBE-GGA | optimized geometry

Properties
- symmetry = No. 64

Cell: 8.7612 8.7778 10.0075 Å, 90.00 64.04 90.00°
Each line ends with the local moment (μB).
Fractional coordinates of all 18 atoms:
Rb  0.3102  0.6744  0.7309  0.01
Rb  0.1898  0.1744  0.2691  0.01
Rb  0.4589  0.1744  0.7309  0.01
Rb  0.0411  0.6744  0.2691  0.01
Rb  0.5000  0.5000  0.0000  0.01
Rb  0.0000  0.0000  0.0000  0.01
Rb  0.9589  0.3256  0.7309  0.01
Rb  0.5411  0.8256  0.2691  0.01
Rb  0.6898  0.3256  0.2691  0.01
Rb  0.8102  0.8256  0.7309  0.01
Br  0.2051  0.0000  0.5898  0.00
Br  0.7949  0.0000  0.4102  0.00
Br  0.2949  0.5000  0.4102  0.00
Br  0.7051  0.5000  0.5898  0.00
P  0.9114  0.5886  0.0000  0.17
P  0.4114  0.9114  0.0000  0.17
P  0.5886  0.0886  0.0000  0.17
P  0.0886  0.4114  0.0000  0.17

---

Quick rundown of ΔE_f (raw), same order as above: -0.394 -0.721 -0.920 eV/atom